1.
# KCaTl2Au

A geometry-optimized KCaTl2Au structure (PBE-GGA, Alexandria).

Output
* calculated formation energy: 441 meV per atom

Cell: 5.9638 5.9638 5.5311 Å, 90.00 90.00 90.00°
Closest atoms and distances in Å follow each position.
Element x y z (fractional)
K 0.0000 0.0000 0.0000  2 Au 2.77, 4 Tl 2.98
Ca 0.5000 0.5000 0.5000  8 Tl 4.07, 4 Au 4.22
Tl 0.0000 0.5000 0.0000  2 K 2.98
Tl 0.5000 0.0000 0.0000  2 K 2.98
Au 0.0000 0.0000 0.5000  2 K 2.77

=====

2.
# Ba2NaSbTe

A geometry-optimized Ba2NaSbTe structure (PBE-GGA, Alexandria).

Output
* uncorrected formation energy: -0.380 eV per atom

Cell: 6.6439 6.6439 6.1266 Å, 90.00 90.00 90.00°
Closest atoms and distances in Å follow each position.
Element x y z (fractional)
Ba 0.0000 0.5000 0.0000  2 Sb 3.32
Ba 0.5000 0.0000 0.0000  2 Sb 3.32
Na 0.0000 0.0000 0.5000  8 Ba 4.52, 4 Te 4.70
Sb 0.5000 0.5000 0.0000  2 Te 3.06, 4 Ba 3.32
Te 0.5000 0.5000 0.5000  2 Sb 3.06

=====

3.
# CaRe2Rh

A geometry-optimized CaRe2Rh structure (PBE-GGA, Alexandria).

Output
* excess energy over the best structure of this formula in the dataset: 0.375 eV per atom
* calculated formation energy: 602 meV per atom

Cell: 2.7308 4.6824 5.2834 Å, 90.00 90.00 90.00°
Closest atoms and distances in Å follow each position.
Element x y z (fractional)
Ca 0.0000 0.0000 0.0000  2 Rh 2.64, 2 Ca 2.73
Re 0.5000 0.5000 0.2626  4 Re 2.51-2.78
Re 0.5000 0.5000 0.7374  4 Re 2.51-2.78
Rh 0.0000 0.0000 0.5000  2 Ca 2.64, 2 Rh 2.73

=====

4.
# ErNi5P3

A geometry-optimized ErNi5P3 structure (PBE-GGA, Alexandria).

Output
* calculated formation energy: -757 meV per atom

Cell: 6.0813 6.0813 11.4259 Å, 90.00 90.00 146.13°
Closest atoms and distances in Å follow each position.
Element x y z (fractional)
Er 0.1567 0.8434 0.7500  7 P 2.98-3.21, 8 Ni 3.15-3.22
Er 0.8434 0.1567 0.2500  7 P 2.98-3.21, 8 Ni 3.15-3.22
Ni 0.0000 0.0000 0.0000  4 P 2.29, 6 Ni 2.49-2.50
Ni 0.0000 0.0000 0.5000  4 P 2.29, 6 Ni 2.49-2.50
Ni 0.2016 0.7984 0.0738  2 P 2.13-2.23
Ni 0.2016 0.7984 0.4262  2 P 2.13-2.23
Ni 0.4501 0.5499 0.6455  4 P 2.27-2.30, 3 Ni 2.39-2.50
Ni 0.4501 0.5499 0.8545  4 P 2.27-2.30, 3 Ni 2.39-2.50
Ni 0.5499 0.4501 0.1455  4 P 2.27-2.30, 3 Ni 2.39-2.50
Ni 0.5499 0.4501 0.3545  4 P 2.27-2.30, 3 Ni 2.39-2.50
Ni 0.7984 0.2016 0.5738  2 P 2.13-2.23
Ni 0.7984 0.2016 0.9262  2 P 2.13-2.23
P 0.1192 0.8808 0.2500  6 Ni 2.23-2.28
P 0.3825 0.6175 0.0436  5 Ni 2.13-2.30
P 0.3825 0.6175 0.4564  5 Ni 2.13-2.30
P 0.6175 0.3825 0.5436  5 Ni 2.13-2.30
P 0.6175 0.3825 0.9564  5 Ni 2.13-2.30
P 0.8808 0.1192 0.7500  6 Ni 2.23-2.28

=====

5.
# Ba4LiRe

A geometry-optimized Ba4LiRe structure (PBE-GGA, Alexandria).

Output
* calculated formation energy: 1269 meV per atom

Cell: 7.1687 7.1687 7.1687 Å, 60.00 60.00 60.00°
Closest atoms and distances in Å follow each position.
Element x y z (fractional)
Ba 0.3763 0.3763 0.3763  6 Ba 3.55-3.62
Ba 0.3763 0.3763 0.8710  6 Ba 3.55-3.62
Ba 0.3763 0.8710 0.3763  6 Ba 3.55-3.62
Ba 0.8710 0.3763 0.3763  6 Ba 3.55-3.62
Li 0.0000 0.0000 0.0000  12 Ba 4.21, 4 Re 4.39
Re 0.7500 0.7500 0.7500  12 Ba 4.20, 4 Li 4.39

=====

6.
# LiBi2Rh2

A geometry-optimized LiBi2Rh2 structure (PBE-GGA, Alexandria).

Output
* excess energy over the best structure of this formula in the dataset: 0.117 eV per atom
* calculated formation energy: -101 meV per atom

Cell: 7.8730 7.8730 3.3297 Å, 90.00 90.00 90.00°
Closest atoms and distances in Å follow each position.
Element x y z (fractional)
Li 0.0000 0.0000 0.0000  4 Bi 2.97
Li 0.5000 0.5000 0.0000  4 Bi 2.97
Bi 0.1567 0.3433 0.0000  6 Rh 2.84-2.85, 2 Li 2.97
Bi 0.3433 0.8433 0.0000  6 Rh 2.84-2.85, 2 Li 2.97
Bi 0.6567 0.1567 0.0000  6 Rh 2.84-2.85, 2 Li 2.97
Bi 0.8433 0.6567 0.0000  6 Rh 2.84-2.85, 2 Li 2.97
Rh 0.1364 0.6364 0.5000  6 Bi 2.84-2.85, 1 Rh 3.04
Rh 0.3636 0.1364 0.5000  6 Bi 2.84-2.85, 1 Rh 3.04
Rh 0.6364 0.8636 0.5000  6 Bi 2.84-2.85, 1 Rh 3.04
Rh 0.8636 0.3636 0.5000  6 Bi 2.84-2.85, 1 Rh 3.04

=====

7.
# Li7ZnPd12

A geometry-optimized Li7ZnPd12 structure (PBE-GGA, Alexandria).

Output
* calculated formation energy: -267 meV per atom

Cell: 6.8092 6.8092 6.8092 Å, 88.30 88.30 88.30°
Closest atoms and distances in Å follow each position.
Element x y z (fractional)
Li 0.0000 0.0000 0.0000  6 Pd 2.41
Li 0.1023 0.4643 0.3440  1 Li 2.56, 4 Pd 2.63-2.85
Li 0.3440 0.1023 0.4643  1 Li 2.56, 4 Pd 2.63-2.85
Li 0.4643 0.3440 0.1023  1 Li 2.56, 4 Pd 2.63-2.85
Li 0.5357 0.6560 0.8977  1 Li 2.56, 4 Pd 2.63-2.85
Li 0.6560 0.8977 0.5357  1 Li 2.56, 4 Pd 2.63-2.85
Li 0.8977 0.5357 0.6560  1 Li 2.56, 4 Pd 2.63-2.85
Zn 0.5000 0.5000 0.5000  6 Pd 2.60
Pd 0.0043 0.1062 0.6589  2 Li 2.41-2.63, 2 Pd 2.64-2.65
Pd 0.1062 0.6589 0.0043  2 Li 2.41-2.63, 2 Pd 2.64-2.65
Pd 0.2327 0.7491 0.6265  1 Zn 2.60, 6 Pd 2.65-2.86, 3 Li 2.73-2.85
Pd 0.2509 0.3735 0.7673  1 Zn 2.60, 6 Pd 2.65-2.86, 3 Li 2.73-2.85
Pd 0.3411 0.9957 0.8938  2 Li 2.41-2.63, 2 Pd 2.64-2.65
Pd 0.3735 0.7673 0.2509  1 Zn 2.60, 6 Pd 2.65-2.86, 3 Li 2.73-2.85
Pd 0.6265 0.2327 0.7491  1 Zn 2.60, 6 Pd 2.65-2.86, 3 Li 2.73-2.85
Pd 0.6589 0.0043 0.1062  2 Li 2.41-2.63, 2 Pd 2.64-2.65
Pd 0.7491 0.6265 0.2327  1 Zn 2.60, 6 Pd 2.65-2.86, 3 Li 2.73-2.85
Pd 0.7673 0.2509 0.3735  1 Zn 2.60, 6 Pd 2.65-2.86, 3 Li 2.73-2.85
Pd 0.8938 0.3411 0.9957  2 Li 2.41-2.63, 2 Pd 2.64-2.65
Pd 0.9957 0.8938 0.3411  2 Li 2.41-2.63, 2 Pd 2.64-2.65

=====

8.
# Ti4Co3Pd

A geometry-optimized Ti4Co3Pd structure (PBE-GGA, Alexandria).

Output
* calculated formation energy: -381 meV per atom

Cell: 7.4249 7.4249 7.4249 Å, 33.53 33.53 33.53°
Closest atoms and distances in Å follow each position.
Element x y z (fractional)
Ti 0.1196 0.1196 0.1196  5 Co 2.51-2.77, 3 Pd 2.66
Ti 0.3709 0.3709 0.3709  7 Co 2.51-2.64, 1 Pd 2.71
Ti 0.6291 0.6291 0.6291  7 Co 2.51-2.64, 1 Pd 2.71
Ti 0.8804 0.8804 0.8804  5 Co 2.51-2.77, 3 Pd 2.66
Co 0.0000 0.0000 0.0000  8 Ti 2.51-2.60
Co 0.2515 0.2515 0.2515  8 Ti 2.51-2.77
Co 0.7485 0.7485 0.7485  8 Ti 2.51-2.77
Pd 0.5000 0.5000 0.5000  8 Ti 2.66-2.71

=====

9.
# CrTc2W

A geometry-optimized CrTc2W structure (PBE-GGA, Alexandria).

Output
* calculated formation energy: 164 meV per atom

Cell: 2.6793 2.6793 8.5681 Å, 90.00 90.00 110.13°
Closest atoms and distances in Å follow each position.
Element x y z (fractional)
Cr 0.0000 0.0000 0.0000  2 Tc 2.52, 2 W 2.60, 4 Cr 2.68
Tc 0.0000 0.0000 0.5048  6 Tc 2.68-2.72, 2 W 2.71
Tc 0.5000 0.5000 0.7670  2 Cr 2.52, 6 Tc 2.68-2.72
W 0.5000 0.5000 0.2444  2 Cr 2.60, 4 W 2.68, 2 Tc 2.71

=====

10.
# SmGe4Pt12

A geometry-optimized SmGe4Pt12 structure (PBE-GGA, Alexandria).

Output
* calculated formation energy: -222 meV per atom

Cell: 7.4321 7.4321 7.4321 Å, 109.47 109.47 109.47°
Closest atoms and distances in Å follow each position.
Element x y z (fractional)
Sm 0.0000 0.0000 0.0000  12 Pt 3.25
Ge 0.0000 0.0000 0.5000  6 Pt 2.43
Ge 0.0000 0.5000 0.0000  6 Pt 2.43
Ge 0.5000 0.0000 0.0000  6 Pt 2.43
Ge 0.5000 0.5000 0.5000  6 Pt 2.43
Pt 0.1568 0.3447 0.5015  2 Ge 2.43, 2 Pt 2.67-2.69
Pt 0.1568 0.6553 0.8121  2 Ge 2.43, 2 Pt 2.67-2.69
Pt 0.1879 0.8432 0.3447  2 Ge 2.43, 2 Pt 2.67-2.69
Pt 0.3447 0.1879 0.8432  2 Ge 2.43, 2 Pt 2.67-2.69
Pt 0.3447 0.5015 0.1568  2 Ge 2.43, 2 Pt 2.67-2.69
Pt 0.4985 0.8432 0.6553  2 Ge 2.43, 2 Pt 2.67-2.69
Pt 0.5015 0.1568 0.3447  2 Ge 2.43, 2 Pt 2.67-2.69
Pt 0.6553 0.4985 0.8432  2 Ge 2.43, 2 Pt 2.67-2.69
Pt 0.6553 0.8121 0.1568  2 Ge 2.43, 2 Pt 2.67-2.69
Pt 0.8121 0.1568 0.6553  2 Ge 2.43, 2 Pt 2.67-2.69
Pt 0.8432 0.3447 0.1879  2 Ge 2.43, 2 Pt 2.67-2.69
Pt 0.8432 0.6553 0.4985  2 Ge 2.43, 2 Pt 2.67-2.69

=====

11.
# LiYBeIr2

A geometry-optimized LiYBeIr2 structure (PBE-GGA, Alexandria).

Output
* calculated formation energy: -473 meV per atom

Cell: 4.3171 4.3171 4.1746 Å, 90.00 90.00 90.00°
Closest atoms and distances in Å follow each position.
Element x y z (fractional)
Li 0.0000 0.0000 0.0000  2 Be 2.09
Y 0.5000 0.5000 0.0000  8 Ir 3.00, 4 Li 3.05
Be 0.0000 0.0000 0.5000  2 Li 2.09, 4 Ir 2.16
Ir 0.0000 0.5000 0.5000  2 Be 2.16
Ir 0.5000 0.0000 0.5000  2 Be 2.16

=====

12.
# TbCuPb2

A geometry-optimized TbCuPb2 structure (PBE-GGA, Alexandria).

Output
* excess energy over the best structure of this formula in the dataset: 0.378 eV per atom
* calculated formation energy: 206 meV per atom

Cell: 10.6023 10.6023 10.6023 Å, 19.00 19.00 19.00°
Closest atoms and distances in Å follow each position.
Element x y z (fractional)
Tb 0.0000 0.0000 0.0000  2 Pb 3.18, 6 Tb 3.50
Cu 0.5000 0.5000 0.5000  6 Pb 2.86
Pb 0.1019 0.1019 0.1019  3 Cu 2.86, 1 Tb 3.18
Pb 0.8981 0.8981 0.8981  3 Cu 2.86, 1 Tb 3.18